Material: Pm2AlSnGe
Method: DFT, PBE
State: relaxed

Geometry as POSCAR:
```
Pm2AlSnGe
1.0
4.353 0.000 0.000
0.000 7.105 0.439
0.000 -2.552 8.582
Pm Al Sn Ge
4 2 2 2
Direct
0.750 0.798 0.582
0.750 0.740 0.009
0.250 0.202 0.418
0.250 0.260 0.991
0.250 0.528 0.732
0.750 0.472 0.268
0.250 0.707 0.296
0.750 0.293 0.704
0.250 0.872 0.818
0.750 0.128 0.182
```

## Properties
Magnetization in μB per cell: 0.0
Space-group type: No. 11
Final energy in eV/atom: -4.963
Energy relative to the elements in eV per formula unit: -3.0

=====

Material: Ir2SeCl
Method: DFT, PBE
State: relaxed

Geometry as POSCAR:
```
Ir2SeCl
1.0
2.987 0.000 0.000
-1.608 2.517 0.000
0.000 0.000 8.648
Cl Ir Se
1 2 1
Direct
0.500 0.500 0.750
0.000 0.000 0.001
0.000 0.000 0.499
0.500 0.500 0.250
```

## Properties
Magnetization in μB per cell: 0.0
Space-group type: No. 65
Final energy in eV/atom: -5.018
Energy relative to the lowest polymorph listed for this composition in kJ/mol of formula units: 275
Energy relative to the elements, uncorrected in meV per atom: 745.2

=====

Material: SrYAl
Method: DFT, PBE
State: relaxed

Geometry as POSCAR:
```
SrYAl
1.0
-4.202 -3.008 -5.183
-4.519 -5.305 -2.236
-3.443 1.328 0.664
Y Sr Al
1 1 1
Direct
0.629 0.629 0.371
0.355 0.355 0.645
0.016 0.016 0.984
```

## Properties
Magnetization in μB per cell: 0.0
Space-group type: No. 107
Final energy in eV/atom: -4.078
Energy relative to the lowest polymorph listed for this composition in kJ/mol of formula units: 28
Energy relative to the elements in eV per formula unit: -0.3

=====

Material: Li2SbPd8
Method: DFT, PBE
State: relaxed

Geometry as POSCAR:
```
Li2SbPd8
1.0
-0.563 -3.265 2.465
-2.446 -3.073 -4.629
7.115 0.250 -1.503
Li Sb Pd
2 1 8
Direct
0.777 0.353 0.553
0.223 0.647 0.447
0.500 0.000 0.000
0.404 0.541 0.808
0.681 0.923 0.362
0.852 0.795 0.705
0.955 0.269 0.910
0.148 0.205 0.295
0.319 0.077 0.638
0.596 0.459 0.192
0.045 0.731 0.090
```

## Properties
Magnetization in μB per cell: 0.0
Space-group type: No. 12
Final energy in eV/atom: -4.820
Energy relative to the lowest polymorph listed for this composition in kJ/mol of formula units: 0
Energy relative to the elements, uncorrected in meV per atom: -320.7